# 1
MgZnPt2: relaxed, PBE.

Unit cell a=4.5724 b=4.5724 c=5.0332 alpha=78.92 beta=78.92 gamma=37.38
With the nearest neighbours (Å) after each atom.
Fractional coordinates of all 4 atoms:
Mg  0.2500  0.2500  0.2500  6 Pt 2.71-2.73, 4 Zn 2.91, 2 Mg 2.93
Pt  0.0035  0.0035  0.9945  3 Zn 2.67-2.73, 3 Mg 2.71-2.73, 6 Pt 2.88-2.95
Pt  0.4965  0.4965  0.5055  3 Zn 2.67-2.73, 3 Mg 2.71-2.73, 6 Pt 2.88-2.95
Zn  0.7500  0.7500  0.7500  6 Pt 2.67-2.73, 4 Mg 2.91, 2 Zn 2.93

* energy relative to the elements: -0.53 eV per atom
* magnetization: 0.0 μB/f.u.
* SG: C2/m



# 2
Sr2LiH: relaxed, PBE.

Unit cell a=4.0847 b=4.0847 c=8.9439 alpha=76.80 beta=76.80 gamma=60.00
With the nearest neighbours (Å) after each atom.
Fractional coordinates of all 4 atoms:
Sr  0.2721  0.2721  0.1837  3 H 2.84
Sr  0.7279  0.7279  0.8163  3 H 2.84
H  0.0000  0.0000  0.0000  6 Sr 2.84
Li  0.5000  0.5000  0.5000  6 Sr 3.61

* energy above the most stable polymorph in this dataset: 104.2 meV/atom
* magnetization: 0.0 μB/f.u.
* SG: R-3m



# 3
Th2MgGe3Rh4: relaxed, PBE.

Unit cell a=4.1717 b=4.1717 c=10.7808 alpha=90.00 beta=90.00 gamma=90.00
With the nearest neighbours (Å) after each atom.
Fractional coordinates of all 10 atoms:
Th  0.5000  0.0000  0.2490  8 Rh 3.15-3.40, 6 Ge 3.23-3.42, 2 Mg 3.42
Th  0.0000  0.5000  0.7510  8 Rh 3.15-3.40, 6 Ge 3.23-3.42, 2 Mg 3.42
Mg  0.5000  0.5000  0.5000  4 Rh 2.62
Ge  0.0000  0.0000  0.5000  4 Rh 2.62
Ge  0.5000  0.0000  0.8739  5 Rh 2.44-2.49
Ge  0.0000  0.5000  0.1261  5 Rh 2.44-2.49
Rh  0.5000  0.5000  0.0000  4 Ge 2.49
Rh  0.0000  0.0000  0.0000  4 Ge 2.49
Rh  0.5000  0.0000  0.6477  3 Ge 2.44-2.62, 2 Mg 2.62
Rh  0.0000  0.5000  0.3523  3 Ge 2.44-2.62, 2 Mg 2.62

* energy relative to the elements: -0.85 eV per atom
* magnetization: 0.0 μB/f.u.
* SG: P-4m2



# 4
Sr4MgAu: relaxed, PBE.

Unit cell a=7.2109 b=7.2109 c=7.2109 alpha=60.00 beta=60.00 gamma=60.00
With the nearest neighbours (Å) after each atom.
Fractional coordinates of all 6 atoms:
Sr  0.8751  0.3750  0.3750  6 Sr 3.60-3.61
Sr  0.3750  0.3750  0.8751  6 Sr 3.60-3.61
Sr  0.3750  0.8751  0.3750  6 Sr 3.60-3.61
Sr  0.3750  0.3750  0.3750  6 Sr 3.60-3.61
Mg  0.0000  0.0000  0.0000  12 Sr 4.23, 4 Au 4.42
Au  0.7500  0.7500  0.7500  12 Sr 4.23, 4 Mg 4.42

* energy above the most stable polymorph in this dataset: 692.8 meV/atom
* energy relative to the elements: 0.43 eV per atom
* magnetization: 0.0 μB/f.u.
* SG: F-43m



# 5
Tl2BPd: relaxed, PBE.

Unit cell a=7.0301 b=7.0301 c=5.9507 alpha=53.79 beta=53.79 gamma=90.00
With the nearest neighbours (Å) after each atom.
Fractional coordinates of all 8 atoms:
Tl  0.5809  0.1250  0.2500  2 B 2.42
Tl  0.1691  0.6250  0.2500  2 B 2.42
Tl  0.3750  0.4191  0.7500  2 B 2.42
Tl  0.8750  0.8309  0.7500  2 B 2.42
B  0.5000  0.5000  0.0000  4 Tl 2.42
B  0.2500  0.7500  0.5000  4 Tl 2.42
Pd  0.0000  0.0000  0.0000  4 Tl 2.83
Pd  0.7500  0.2500  0.5000  4 Tl 2.83

* energy above the most stable polymorph in this dataset: 0.0 meV/atom
* energy relative to the elements: 0.80 eV per atom
* magnetization: 0.0 μB/f.u.
* SG: I-42d



# 6
NaLaIO2: relaxed, PBE.

Unit cell a=4.5296 b=4.5296 c=5.1031 alpha=90.00 beta=90.00 gamma=90.00
With the nearest neighbours (Å) after each atom.
Fractional coordinates of all 5 atoms:
I  0.0000  0.0000  0.5000  2 Na 2.55
Na  0.0000  0.0000  0.0000  4 O 2.26
O  0.0000  0.5000  0.0000  2 Na 2.26
O  0.5000  0.0000  0.0000  2 Na 2.26
La  0.5000  0.5000  0.5000  4 I 3.20, 8 O 3.41

* energy above the most stable polymorph in this dataset: 1009.6 meV/atom
* raw formation energy: -0.755 eV per atom
* magnetization: 1.0 μB/f.u.
* SG: P4/mmm